Record 1
The following is a DFT calculation (GGA-PBEsol) of crystalline MgPtPb at its relaxed geometry.

Properties
E_form: -0.147 eV per atom

a = 3.2924 Å, b = 3.2924 Å, c = 6.6725 Å
α = 90.00°, β = 90.00°, γ = 120.00°
Closest atoms and distances in Å follow each position.
Fractional coordinates of all 3 atoms:
Mg (0.0000, 0.0000, 0.0409)  3 Pt 2.66
Pb (0.6667, 0.3333, 0.6395)  3 Pt 2.86
Pt (0.3333, 0.6667, 0.3195)  3 Mg 2.66, 3 Pb 2.86

=====

Record 2
The following is a DFT calculation (GGA-PBEsol) of crystalline La2MgW at its relaxed geometry.

Properties
E_form: 0.551 eV per atom

a = 4.5856 Å, b = 4.5856 Å, c = 5.5831 Å
α = 114.25°, β = 114.25°, γ = 90.00°
Closest atoms and distances in Å follow each position.
Fractional coordinates of all 4 atoms:
Mg (0.5000, 0.5000, 0.0000)  8 La 3.23-3.24, 4 W 3.23
La (0.7500, 0.2500, 0.5000)  4 La 3.23, 4 Mg 3.23, 4 W 3.24
La (0.0000, 0.0000, 0.0000)  4 La 3.23, 4 W 3.23, 4 Mg 3.24
W (0.2500, 0.7500, 0.5000)  8 La 3.23-3.24, 4 Mg 3.23

=====

Record 3
The following is a DFT calculation (GGA-PBEsol) of crystalline LiAs2Cl at its relaxed geometry.

Properties
E_form (uncorrected): -242 kJ/mol of formula units

a = 3.2926 Å, b = 3.2926 Å, c = 8.3104 Å
α = 90.00°, β = 90.00°, γ = 90.00°
Closest atoms and distances in Å follow each position.
Fractional coordinates of all 4 atoms:
Li (0.5000, 0.5000, 0.5907)  4 Cl 2.33
As (0.5000, 0.5000, 0.2254)  4 As 2.65
As (0.0000, 0.0000, 0.0737)  4 As 2.65
Cl (0.0000, 0.0000, 0.6102)  4 Li 2.33

=====

Record 4
The following is a DFT calculation (GGA-PBEsol) of crystalline Zn3FeRh at its relaxed geometry.

Properties
E_form: 0.852 eV per atom

a = 4.5938 Å, b = 4.5938 Å, c = 4.5938 Å
α = 90.00°, β = 90.00°, γ = 90.00°
Closest atoms and distances in Å follow each position.
Fractional coordinates of all 5 atoms:
Zn (0.0000, 0.5000, 0.0000)  2 Rh 2.30
Zn (0.0000, 0.0000, 0.5000)  2 Rh 2.30
Zn (0.5000, 0.0000, 0.0000)  2 Rh 2.30
Rh (0.0000, 0.0000, 0.0000)  6 Zn 2.30
Fe (0.5000, 0.5000, 0.5000)  12 Zn 3.25

=====

Record 5
The following is a DFT calculation (GGA-PBEsol) of crystalline LiScSb2 at its relaxed geometry.

Properties
E_form (uncorrected): -225 kJ/mol of formula units

a = 3.9844 Å, b = 4.4521 Å, c = 4.8709 Å
α = 90.00°, β = 90.00°, γ = 90.00°
Closest atoms and distances in Å follow each position.
Fractional coordinates of all 4 atoms:
Sb (0.0000, 0.0000, 0.0000)  4 Sc 2.99, 4 Li 3.15, 4 Sb 3.30
Sb (0.0000, 0.5000, 0.5000)  4 Li 2.99, 4 Sc 3.15, 4 Sb 3.30
Sc (0.5000, 0.5000, 0.0000)  8 Sb 2.99-3.15, 4 Li 3.30
Li (0.5000, 0.0000, 0.5000)  8 Sb 2.99-3.15, 4 Sc 3.30

=====

Record 6
The following is a DFT calculation (GGA-PBEsol) of crystalline SnTeMo2Rh at its relaxed geometry.

Properties
E_form (uncorrected): 1052 kJ/mol of formula units

a = 4.8139 Å, b = 4.8139 Å, c = 5.3977 Å
α = 90.00°, β = 90.00°, γ = 90.00°
Closest atoms and distances in Å follow each position.
Fractional coordinates of all 5 atoms:
Mo (0.0000, 0.5000, 0.0000)  2 Te 2.41
Mo (0.5000, 0.0000, 0.0000)  2 Te 2.41
Sn (0.0000, 0.0000, 0.5000)  2 Te 2.70
Rh (0.5000, 0.5000, 0.5000)  4 Sn 3.40, 8 Mo 3.62
Te (0.0000, 0.0000, 0.0000)  4 Mo 2.41

=====

Record 7
The following is a DFT calculation (GGA-PBEsol) of crystalline Cu2B2Pb at its relaxed geometry.

Properties
E_form: 0.570 eV per atom

a = 3.7352 Å, b = 3.7352 Å, c = 5.1284 Å
α = 111.36°, β = 111.36°, γ = 90.00°
Closest atoms and distances in Å follow each position.
Fractional coordinates of all 5 atoms:
B (0.5982, 0.5982, 0.1964)  1 B 1.73
B (0.4018, 0.4018, 0.8036)  1 B 1.73
Pb (0.0000, 0.0000, 0.0000)  8 B 2.78, 8 Cu 2.88
Cu (0.7500, 0.2500, 0.5000)  4 B 2.30
Cu (0.2500, 0.7500, 0.5000)  4 B 2.30

=====

Record 8
The following is a DFT calculation (GGA-PBEsol) of crystalline Y2CrBr at its relaxed geometry.

Properties
E_form (uncorrected): -3 kJ/mol of formula units

a = 3.5167 Å, b = 3.5167 Å, c = 9.8974 Å
α = 79.77°, β = 79.77°, γ = 60.00°
Closest atoms and distances in Å follow each position.
Fractional coordinates of all 4 atoms:
Y (0.7597, 0.7597, 0.7210)  3 Br 2.92
Y (0.9945, 0.9945, 0.0164)  3 Cr 3.10
Cr (0.2471, 0.2471, 0.2588)  3 Y 3.10, 3 Br 3.12
Br (0.4988, 0.4988, 0.5037)  3 Y 2.92, 3 Cr 3.12

=====

| no. | energy (eV per atom) | mass density (g/cm³) |
| --- | --- | --- |
| 1 | -4.37 | 11.3 |
| 2 | -6.00 | 8.4 |
| 3 | -4.17 | 3.5 |
| 4 | -3.52 | 6.1 |
| 5 | -5.00 | 5.7 |
| 6 | -5.71 | 7.2 |
| 7 | -4.77 | 9.6 |
| 8 | -6.45 | 5.0 |